P) PmThTlRu: relaxed, PBE-GGA.

Computed properties:
The calculation puts the volume at 102.2 Å³/f.u. Its crystal system is cubic. For the density of states at the Fermi level, the calculation gives 1.004 states/eV per atom.

Cell lengths 5.248, 5.248, 5.248 Å; angles 60.00, 60.00, 60.00 degrees
Element x y z (fractional)
Ru  0.750  0.750  0.750
Tl  0.250  0.250  0.250
Th  0.500  0.500  0.500
Pm  0.000  0.000  0.000

***

Q) PmThTlRu: relaxed, PBE-GGA.

Computed properties:
The calculation puts the volume at 116.9 Å³/f.u. Its crystal system is monoclinic. For the density of states at the Fermi level, the calculation gives 0.594 states/eV per atom.

Cell lengths 4.056, 4.056, 8.545 Å; angles 89.96, 103.84, 120.06 degrees
Element x y z (fractional)
Pm  0.504  0.150  0.671
Th  0.092  0.944  0.052
Tl  0.970  0.382  0.365
Ru  0.312  0.554  0.882

***

List of relative energies, unit eV/atom: P) 0.190; Q) 0.000

***

P) Pm3TlRu: relaxed, PBE-GGA.

Computed properties:
The calculation puts the volume at 142.2 Å³/f.u. Its crystal system is monoclinic. For the density of states at the Fermi level, the calculation gives 0.834 states/eV per atom.

Cell lengths 4.720, 6.391, 10.187 Å; angles 94.76, 90.00, 111.67 degrees
Element x y z (fractional)
Pm  0.114  0.229  0.168
Pm  0.886  0.771  0.832
Pm  0.609  0.219  0.888
Pm  0.391  0.781  0.112
Pm  0.849  0.699  0.389
Pm  0.151  0.301  0.611
Tl  0.423  0.846  0.619
Tl  0.577  0.154  0.381
Ru  0.242  0.484  0.877
Ru  0.758  0.516  0.123

***

Q) Pm3TlRu: relaxed, PBE-GGA.

Computed properties:
The calculation puts the volume at 159.7 Å³/f.u. Its crystal system is cubic. For the density of states at the Fermi level, the calculation gives 0.803 states/eV per atom.

Cell lengths 5.426, 5.426, 5.426 Å; angles 90.00, 90.00, 90.00 degrees
Element x y z (fractional)
Ru  0.000  0.000  0.000
Tl  0.500  0.500  0.500
Pm  0.000  0.500  0.000
Pm  0.000  0.000  0.500
Pm  0.500  0.000  0.000

***

List of relative energies, unit eV/atom: P) 0.000; Q) 0.127

***

P) Pm4TlRu: relaxed, PBE-GGA.

Computed properties:
The calculation puts the volume at 178.8 Å³/f.u. Its crystal system is monoclinic. For the density of states at the Fermi level, the calculation gives 1.121 states/eV per atom.

Cell lengths 6.359, 9.322, 7.958 Å; angles 115.12, 99.39, 113.80 degrees
Element x y z (fractional)
Pm  0.102  0.202  0.839
Pm  0.769  0.723  0.666
Pm  0.237  0.637  0.839
Pm  0.397  0.943  0.666
Pm  0.603  0.057  0.334
Pm  0.763  0.363  0.161
Pm  0.231  0.277  0.334
Pm  0.898  0.798  0.161
Tl  0.373  0.623  0.246
Tl  0.627  0.377  0.754
Ru  0.250  0.000  0.000
Ru  0.750  0.000  0.000

***

Q) Pm4TlRu: relaxed, PBE-GGA.

Computed properties:
The calculation puts the volume at 171.1 Å³/f.u. Its crystal system is cubic. For the density of states at the Fermi level, the calculation gives 0.737 states/eV per atom.

Cell lengths 9.892, 9.892, 9.892 Å; angles 60.00, 60.00, 60.00 degrees
Element x y z (fractional)
Pm  0.403  0.403  0.403
Pm  0.790  0.403  0.403
Pm  0.403  0.790  0.403
Pm  0.403  0.403  0.790
Pm  0.558  0.558  0.942
Pm  0.942  0.942  0.558
Pm  0.558  0.942  0.558
Pm  0.942  0.558  0.942
Pm  0.942  0.558  0.558
Pm  0.558  0.942  0.942
Pm  0.191  0.191  0.809
Pm  0.809  0.809  0.191
Pm  0.191  0.809  0.191
Pm  0.809  0.191  0.809
Pm  0.809  0.191  0.191
Pm  0.191  0.809  0.809
Tl  0.166  0.166  0.166
Tl  0.502  0.166  0.166
Tl  0.166  0.502  0.166
Tl  0.166  0.166  0.502
Ru  0.612  0.612  0.612
Ru  0.163  0.612  0.612
Ru  0.612  0.163  0.612
Ru  0.612  0.612  0.163

***

List of relative energies, unit eV/atom: P) 0.032; Q) 0.000

***

P) Pm5Tl2Ru: relaxed, PBE-GGA.

Computed properties:
The calculation puts the volume at 235.8 Å³/f.u. Its crystal system is tetragonal. For the density of states at the Fermi level, the calculation gives 0.859 states/eV per atom.

Cell lengths 7.226, 7.226, 6.821 Å; angles 122.02, 122.02, 89.96 degrees
Element x y z (fractional)
Pm  0.734  0.241  0.974
Pm  0.241  0.241  0.975
Pm  0.734  0.734  0.975
Pm  0.241  0.734  0.974
Pm  0.762  0.762  0.523
Tl  0.232  0.732  0.464
Tl  0.732  0.232  0.464
Ru  0.102  0.102  0.204

***

Q) Pm5Tl2Ru: relaxed, PBE-GGA.

Computed properties:
The calculation puts the volume at 237.0 Å³/f.u. Its crystal system is orthorhombic. For the density of states at the Fermi level, the calculation gives 0.899 states/eV per atom.

Cell lengths 4.773, 8.025, 12.373 Å; angles 90.00, 90.00, 90.00 degrees
Element x y z (fractional)
Pm  0.000  0.000  0.500
Pm  0.000  0.500  0.000
Pm  0.000  0.861  0.201
Pm  0.000  0.139  0.799
Pm  0.000  0.639  0.701
Pm  0.000  0.361  0.299
Pm  0.500  0.684  0.430
Pm  0.500  0.316  0.570
Pm  0.500  0.816  0.930
Pm  0.500  0.184  0.070
Tl  0.500  0.575  0.169
Tl  0.500  0.425  0.831
Tl  0.500  0.925  0.669
Tl  0.500  0.075  0.331
Ru  0.000  0.500  0.500
Ru  0.000  0.000  0.000

***

List of relative energies, unit eV/atom: P) 0.177; Q) 0.000

***

P) Pm6TlRu: relaxed, PBE-GGA.

Computed properties:
The calculation puts the volume at 240.1 Å³/f.u. Its crystal system is tetragonal. For the density of states at the Fermi level, the calculation gives 1.154 states/eV per atom.

Cell lengths 9.675, 9.675, 9.675 Å; angles 148.96, 148.96, 44.47 degrees
Element x y z (fractional)
Pm  0.251  0.251  0.000
Pm  0.898  0.398  0.500
Pm  0.398  0.898  0.500
Pm  0.102  0.602  0.500
Pm  0.749  0.749  0.000
Pm  0.602  0.102  0.500
Tl  0.500  0.500  0.000
Ru  0.000  0.000  0.000

***

Q) Pm6TlRu: relaxed, PBE-GGA.

Computed properties:
The calculation puts the volume at 266.0 Å³/f.u. Its crystal system is monoclinic. For the density of states at the Fermi level, the calculation gives 1.213 states/eV per atom.

Cell lengths 6.569, 8.076, 6.577 Å; angles 52.13, 80.81, 74.93 degrees
Element x y z (fractional)
Pm  0.788  0.562  0.629
Pm  0.788  0.191  0.371
Pm  0.212  0.809  0.629
Pm  0.212  0.438  0.371
Pm  0.645  0.784  0.000
Pm  0.355  0.216  0.000
Tl  0.000  0.000  0.000
Ru  0.500  0.500  0.000

***

List of relative energies, unit eV/atom: P) 0.000; Q) 0.015